Computed, not measured: an optimized crystal structure of Tb2CePb3 at the GGA-PBE level of DFT.

Magnetization, μB/f.u.: 1.91
Energy relative to the lowest polymorph listed for this composition, eV/atom: 0.000
Energy of formation from the pure elements, meV/atom: -411.1
Crystal system: orthorhombic
Final energy, eV per atom: -4.80

Geometry as POSCAR:
```
Tb2CePb3
1.0
-3.306 4.591 1.316
-7.007 -2.862 5.198
3.774 1.086 5.684
Tb Ce Pb
4 2 6
direct
0.000 0.000 0.500 Tb
0.668 0.664 0.500 Tb
0.332 0.336 0.500 Tb
0.000 0.000 0.000 Tb
0.335 0.330 0.000 Ce
0.665 0.670 0.000 Ce
0.835 0.331 0.742 Pb
0.499 0.000 0.259 Pb
0.834 0.331 0.258 Pb
0.501 0.000 0.741 Pb
0.165 0.669 0.258 Pb
0.166 0.669 0.742 Pb
```

=====

Computed, not measured: an optimized crystal structure of MnGe2Pb2 at the GGA-PBE level of DFT.

Magnetization, μB/f.u.: 0.14
Energy of formation from the pure elements, meV/atom: 1085.0
Crystal system: tetragonal
Final energy, eV per atom: -4.08

Geometry as POSCAR:
```
MnGe2Pb2
1.0
-4.112 -0.820 0.667
-0.606 -0.367 -4.187
-0.890 -7.627 -1.355
Mn Ge Pb
1 2 2
direct
0.000 0.000 0.000 Mn
0.584 0.584 0.832 Ge
0.416 0.416 0.168 Ge
0.250 0.750 0.500 Pb
0.750 0.250 0.500 Pb
```

=====

Computed, not measured: an optimized crystal structure of MgBAs2Br at the GGA-PBE level of DFT.

E_form (uncorrected), eV per atom: 1.248
Magnetization, μB/f.u.: 0.00
Energy relative to the lowest polymorph listed for this composition, eV/atom: 0.766
Crystal system: tetragonal
Final energy, eV per atom: -2.60

Geometry as POSCAR:
```
MgBAs2Br
1.0
5.007 0.000 0.000
0.000 5.007 0.000
0.000 0.000 5.259
Br As Mg B
1 2 1 1
direct
0.000 0.000 0.500 Br
0.500 0.000 0.000 As
0.000 0.500 0.000 As
0.000 0.000 0.000 Mg
0.500 0.500 0.500 B
```

=====

Computed, not measured: an optimized crystal structure of K2LiIr at the GGA-PBE level of DFT.

Magnetization, μB/f.u.: 0.74
Energy relative to the lowest polymorph listed for this composition, eV/atom: 0.334
Energy of formation from the pure elements, meV/atom: 750.9
Crystal system: monoclinic
Final energy, eV per atom: -2.49

Geometry as POSCAR:
```
K2LiIr
1.0
-1.108 5.643 0.447
-3.617 4.449 -0.628
-2.238 -0.389 5.658
K Li Ir
2 1 1
direct
0.989 0.989 0.020 K
0.511 0.511 0.480 K
0.750 0.750 0.750 Li
0.250 0.250 0.250 Ir
```

=====

Computed, not measured: an optimized crystal structure of Te2SeO at the GGA-PBE level of DFT.

E_form (uncorrected), eV per atom: 0.014
Magnetization, μB/f.u.: 0.00
Energy relative to the lowest polymorph listed for this composition, eV/atom: 0.000
Crystal system: trigonal
Final energy, eV per atom: -3.67

Geometry as POSCAR:
```
Te2SeO
1.0
2.100 0.000 8.364
-1.050 1.819 8.364
-1.050 -1.819 8.364
Te O Se
2 1 1
direct
0.080 0.080 0.080 Te
0.920 0.920 0.920 Te
0.000 0.000 0.000 O
0.500 0.500 0.500 Se
```

=====

Computed, not measured: an optimized crystal structure of UPa2Pd at the GGA-PBE level of DFT.

Magnetization, μB/f.u.: 0.00
Energy relative to the lowest polymorph listed for this composition, eV/atom: 0.000
Energy of formation from the pure elements, meV/atom: -247.9
Crystal system: tetragonal
Final energy, eV per atom: -9.12

Geometry as POSCAR:
```
UPa2Pd
1.0
3.128 0.000 0.000
0.000 5.250 0.000
0.000 0.000 5.250
Pa U Pd
2 1 1
direct
0.000 0.000 0.500 Pa
0.000 0.500 0.000 Pa
0.500 0.500 0.500 U
0.500 0.000 0.000 Pd
```

=====

Computed, not measured: an optimized crystal structure of SbAsIr2 at the GGA-PBE level of DFT.

E_form (uncorrected), eV per atom: 0.279
Magnetization, μB/f.u.: 0.00
Energy relative to the lowest polymorph listed for this composition, eV/atom: 0.438
Crystal system: orthorhombic
Final energy, eV per atom: -6.34

Geometry as POSCAR:
```
SbAsIr2
1.0
-4.087 -2.645 3.094
1.135 -4.738 3.088
0.853 5.595 -1.116
Ir Sb As
2 1 1
direct
0.999 0.999 0.000 Ir
0.760 0.260 0.500 Ir
0.522 0.522 0.000 Sb
0.219 0.719 0.500 As
```

=====

Computed, not measured: an optimized crystal structure of Sc2AsRu at the GGA-PBE level of DFT.

Magnetization, μB/f.u.: 0.00
Energy of formation from the pure elements, meV/atom: -445.4
Crystal system: cubic
Final energy, eV per atom: -7.09

Geometry as POSCAR:
```
Sc2AsRu
1.0
-3.813 -1.858 -1.691
-0.392 -0.718 -4.493
0.071 -4.259 -1.647
As Sc Ru
1 2 1
direct
0.500 0.500 0.500 As
0.250 0.250 0.250 Sc
0.000 0.000 0.000 Sc
0.750 0.750 0.750 Ru
```

=====

Computed, not measured: an optimized crystal structure of Nd3Ni2Ir at the GGA-PBE level of DFT.

Magnetization, μB/f.u.: 0.00
Energy of formation from the pure elements, meV/atom: -386.9
Crystal system: orthorhombic
Final energy, eV per atom: -6.17

Geometry as POSCAR:
```
Nd3Ni2Ir
1.0
4.070 0.000 0.000
0.000 11.834 0.000
0.000 0.000 11.663
Ni Nd Ir
8 12 4
direct
0.250 0.488 0.816 Ni
0.750 0.305 0.521 Ni
0.250 0.805 0.979 Ni
0.750 0.988 0.684 Ni
0.750 0.195 0.021 Ni
0.250 0.695 0.479 Ni
0.750 0.512 0.184 Ni
0.250 0.012 0.316 Ni
0.750 0.306 0.795 Nd
0.250 0.379 0.059 Nd
0.250 0.443 0.379 Nd
0.250 0.694 0.205 Nd
0.750 0.194 0.295 Nd
0.250 0.057 0.879 Nd
0.750 0.943 0.121 Nd
0.750 0.879 0.441 Nd
0.750 0.557 0.621 Nd
0.250 0.121 0.559 Nd
0.250 0.806 0.705 Nd
0.750 0.621 0.941 Nd
0.750 0.871 0.874 Ir
0.750 0.629 0.374 Ir
0.250 0.129 0.126 Ir
0.250 0.371 0.626 Ir
```

=====

Computed, not measured: an optimized crystal structure of NaLa5In3 at the GGA-PBE level of DFT.

Magnetization, μB/f.u.: 0.00
Energy of formation from the pure elements, meV/atom: -327.2
Crystal system: hexagonal
Final energy, eV per atom: -4.12

Geometry as POSCAR:
```
NaLa5In3
1.0
6.991 0.000 0.000
0.000 9.816 0.000
0.000 -4.908 8.501
La Na In
10 2 6
direct
0.000 0.667 0.333 La
0.000 0.333 0.667 La
0.750 0.677 0.677 La
0.250 0.677 0.000 La
0.250 0.323 0.323 La
0.750 0.323 0.000 La
0.250 0.000 0.677 La
0.750 0.000 0.323 La
0.500 0.667 0.333 La
0.500 0.333 0.667 La
0.000 0.000 0.000 Na
0.500 0.000 0.000 Na
0.750 0.341 0.341 In
0.250 0.659 0.659 In
0.750 0.659 0.000 In
0.250 0.341 0.000 In
0.750 0.000 0.659 In
0.250 0.000 0.341 In
```

=====

Computed, not measured: an optimized crystal structure of Na6Pb at the GGA-PBE level of DFT.

Magnetization, μB/f.u.: 0.00
Energy relative to the lowest polymorph listed for this composition, eV/atom: 0.000
Energy of formation from the pure elements, meV/atom: -68.1
Crystal system: trigonal
Final energy, eV per atom: -1.73

Geometry as POSCAR:
```
Na6Pb
1.0
5.348 0.000 1.836
2.359 4.799 1.836
-0.029 -0.018 8.793
Na Pb
6 1
direct
0.135 0.135 0.596 Na
0.290 0.290 0.130 Na
0.422 0.422 0.735 Na
0.865 0.865 0.404 Na
0.710 0.710 0.870 Na
0.578 0.578 0.265 Na
0.000 0.000 0.000 Pb
```

=====

Computed, not measured: an optimized crystal structure of TiPd3Au3 at the GGA-PBE level of DFT.

Magnetization, μB/f.u.: 0.00
Energy relative to the lowest polymorph listed for this composition, eV/atom: 0.000
Energy of formation from the pure elements, meV/atom: -295.9
Crystal system: hexagonal
Final energy, eV per atom: -5.05

Geometry as POSCAR:
```
TiPd3Au3
1.0
-1.017 4.392 1.367
-7.194 -1.954 0.927
4.836 -0.657 5.710
Ti Au Pd
2 6 6
direct
0.250 0.667 0.333 Ti
0.750 0.333 0.667 Ti
0.750 0.472 0.096 Au
0.250 0.376 0.472 Au
0.750 0.624 0.528 Au
0.250 0.528 0.904 Au
0.250 0.096 0.624 Au
0.750 0.904 0.376 Au
0.750 0.753 0.943 Pd
0.750 0.057 0.810 Pd
0.250 0.247 0.057 Pd
0.250 0.943 0.190 Pd
0.250 0.810 0.753 Pd
0.750 0.190 0.247 Pd
```

=====

| no. | mass density (g/cm³) |
| --- | --- |
| 1 | 10.3 |
| 2 | 7.9 |
| 3 | 3.3 |
| 4 | 4.6 |
| 5 | 6.1 |
| 6 | 15.5 |
| 7 | 13.6 |
| 8 | 6.6 |
| 9 | 8.8 |
| 10 | 6.0 |
| 11 | 2.5 |
| 12 | 13.8 |